Entry 1:
DFT (PBE) results for crystalline LiGa2Sn2Au7 at its relaxed geometry.

Properties
- Formation enthalpy at 0 K: -0.178 eV per atom

a b c (Å): 4.110 4.110 15.617
angles (deg): 75.66 75.66 90.34
Fractional positions:
Au  0.760  0.760  0.577
Au  0.132  0.634  0.860
Au  0.366  0.868  0.140
Au  0.240  0.240  0.423
Au  0.634  0.132  0.860
Au  0.868  0.366  0.140
Au  0.500  0.500  0.000
Li  0.000  0.000  0.000
Sn  0.751  0.751  0.395
Sn  0.249  0.249  0.605
Ga  0.738  0.738  0.745
Ga  0.262  0.262  0.255

Entry 2:
DFT (PBE) results for crystalline SrEuGaCu at its relaxed geometry.

Properties
- Formation enthalpy at 0 K: -0.181 eV per atom

a b c (Å): 5.333 5.333 5.333
angles (deg): 60.00 60.00 60.00
Fractional positions:
Cu  0.250  0.250  0.250
Ga  0.750  0.750  0.750
Eu  0.000  0.000  0.000
Sr  0.500  0.500  0.500

Entry 3:
DFT (PBE) results for crystalline CrP2Se at its relaxed geometry.

Properties
- Energy relative to the elements, uncorrected: 0.0375 eV per atom

a b c (Å): 3.893 3.893 7.656
angles (deg): 108.69 108.69 42.41
Fractional positions:
P  0.601  0.601  0.406
P  0.899  0.899  0.094
Cr  0.250  0.250  0.250
Se  0.750  0.750  0.750

Entry 4:
DFT (PBE) results for crystalline TeS2F at its relaxed geometry.

Properties
- Energy relative to the elements, uncorrected: -0.3143 eV per atom
- E above lowest polymorph: 0 meV/atom

a b c (Å): 4.044 6.806 11.535
angles (deg): 98.80 42.88 91.34
Fractional positions:
Te  0.117  0.185  0.281
Te  0.449  0.687  0.319
F  0.580  0.293  0.930
F  0.599  0.002  0.679
S  0.614  0.890  0.536
S  0.505  0.449  0.081
S  0.864  0.964  0.101
S  0.073  0.398  0.487

Entry 5:
DFT (PBE) results for crystalline CePrSi2Ni2 at its relaxed geometry.

Properties
- Energy relative to the elements, uncorrected: -0.7185 eV per atom

a b c (Å): 4.069 4.069 8.137
angles (deg): 90.00 90.00 120.00
Fractional positions:
Pr  0.000  0.000  0.000
Ce  0.000  0.000  0.500
Ni  0.333  0.667  0.262
Ni  0.667  0.333  0.738
Si  0.333  0.667  0.742
Si  0.667  0.333  0.258

Entry 6:
DFT (PBE) results for crystalline AcYGeRh at its relaxed geometry.

Properties
- Formation enthalpy at 0 K: -0.555 eV per atom

a b c (Å): 5.200 5.200 5.200
angles (deg): 60.00 60.00 60.00
Fractional positions:
Ge  0.500  0.500  0.500
Ac  0.750  0.750  0.750
Y  0.250  0.250  0.250
Rh  0.000  0.000  0.000

Entry 7:
DFT (PBE) results for crystalline KScBr2Cl at its relaxed geometry.

Properties
- Energy relative to the elements, uncorrected: -1.6331 eV per atom

a b c (Å): 5.481 5.481 5.075
angles (deg): 90.00 90.00 90.00
Fractional positions:
Cl  0.000  0.000  0.500
Sc  0.000  0.000  0.000
Br  0.500  0.000  0.000
Br  0.000  0.500  0.000
K  0.500  0.500  0.500

Entry 8:
DFT (PBE) results for crystalline ZnCd2Ga4 at its relaxed geometry.

Properties
- Formation enthalpy at 0 K: 0.261 eV per atom

a b c (Å): 4.819 4.819 8.122
angles (deg): 107.26 107.26 90.00
Fractional positions:
Ga  0.821  0.821  0.642
Ga  0.179  0.179  0.358
Ga  0.000  0.500  0.000
Ga  0.500  0.000  0.000
Zn  0.000  0.000  0.000
Cd  0.634  0.634  0.268
Cd  0.366  0.366  0.732

Entry 9:
DFT (PBE) results for crystalline KScGeS4 at its relaxed geometry.

Properties
- Energy relative to the elements, uncorrected: -1.1301 eV per atom

a b c (Å): 6.313 6.711 8.726
angles (deg): 90.00 108.12 90.00
Fractional positions:
S  0.006  0.998  0.695
S  0.994  0.002  0.305
S  0.478  0.750  0.586
S  0.522  0.250  0.414
S  0.448  0.750  0.181
S  0.552  0.250  0.819
S  0.994  0.498  0.305
S  0.006  0.502  0.695
Ge  0.760  0.250  0.658
Ge  0.240  0.750  0.342
Sc  0.787  0.750  0.452
Sc  0.213  0.250  0.548
K  0.254  0.250  0.055
K  0.746  0.750  0.945

Entry 10:
DFT (PBE) results for crystalline TaMn2Cu at its relaxed geometry.

Properties
- Formation enthalpy at 0 K: 0.108 eV per atom

a b c (Å): 2.938 2.965 6.976
angles (deg): 64.83 90.00 90.00
Fractional positions:
Mn  0.000  0.987  0.013
Mn  0.500  0.292  0.208
Cu  0.500  0.720  0.780
Ta  0.000  0.501  0.499

Entry 11:
DFT (PBE) results for crystalline PmMgZn at its relaxed geometry.

Properties
- E above lowest polymorph: 167 meV/atom
- Formation enthalpy at 0 K: -0.098 eV per atom

a b c (Å): 4.818 4.818 4.818
angles (deg): 60.00 60.00 60.00
Fractional positions:
Pm  0.000  0.000  0.000
Mg  0.500  0.500  0.500
Zn  0.250  0.250  0.250

Entry 12:
DFT (PBE) results for crystalline NbSiS2N at its relaxed geometry.

Properties
- Energy relative to the elements, uncorrected: 0.1977 eV per atom
- E above lowest polymorph: 39 meV/atom

a b c (Å): 4.943 4.943 3.876
angles (deg): 90.00 90.00 90.00
Fractional positions:
S  0.000  0.500  0.000
S  0.500  0.000  0.000
Nb  0.000  0.000  0.000
N  0.000  0.000  0.500
Si  0.500  0.500  0.500

Entry 13:
DFT (PBE) results for crystalline AsPdPt at its relaxed geometry.

Properties
- Formation enthalpy at 0 K: -0.224 eV per atom

a b c (Å): 7.943 5.194 9.886
angles (deg): 90.00 90.00 90.00
Fractional positions:
As  0.638  0.435  0.643
As  0.862  0.935  0.357
As  0.138  0.065  0.643
As  0.362  0.565  0.357
As  0.862  0.435  0.143
As  0.362  0.065  0.143
As  0.638  0.935  0.857
As  0.138  0.565  0.857
Pt  0.899  0.288  0.530
Pt  0.399  0.712  0.970
Pt  0.101  0.212  0.030
Pt  0.601  0.788  0.470
Pt  0.601  0.288  0.030
Pt  0.399  0.212  0.530
Pt  0.101  0.712  0.470
Pt  0.899  0.788  0.970
Pd  0.646  0.311  0.324
Pd  0.854  0.311  0.824
Pd  0.354  0.689  0.676
Pd  0.354  0.189  0.824
Pd  0.646  0.811  0.176
Pd  0.854  0.811  0.676
Pd  0.146  0.689  0.176
Pd  0.146  0.189  0.324

Entry 14:
DFT (PBE) results for crystalline DySc5Tl6 at its relaxed geometry.

Properties
- Formation enthalpy at 0 K: -0.265 eV per atom

a b c (Å): 5.142 8.918 8.918
angles (deg): 120.03 106.81 106.81
Fractional positions:
Tl  0.745  0.915  0.575
Tl  0.240  0.740  0.740
Tl  0.255  0.425  0.085
Tl  0.255  0.085  0.425
Tl  0.760  0.260  0.260
Tl  0.745  0.575  0.915
Sc  0.500  0.164  0.836
Sc  0.000  0.668  0.332
Sc  0.500  0.500  0.500
Sc  0.000  0.332  0.668
Sc  0.500  0.836  0.164
Dy  0.000  0.000  0.000

Entry 15:
DFT (PBE) results for crystalline Ac3PmSm8 at its relaxed geometry.

Properties
- Formation enthalpy at 0 K: 0.048 eV per atom

a b c (Å): 11.372 8.869 8.869
angles (deg): 84.88 129.87 129.88
Fractional positions:
Ac  0.425  0.177  0.674
Ac  0.066  0.566  0.566
Ac  0.425  0.674  0.177
Sm  0.747  0.670  0.164
Sm  0.747  0.164  0.670
Sm  0.409  0.086  0.086
Sm  0.416  0.587  0.587
Sm  0.087  0.164  0.670
Sm  0.758  0.587  0.587
Sm  0.763  0.086  0.086
Sm  0.087  0.670  0.164
Pm  0.068  0.068  0.068

Entry 16:
DFT (PBE) results for crystalline La3BiN at its relaxed geometry.

Properties
- Energy relative to the elements, uncorrected: -0.9161 eV per atom

a b c (Å): 6.969 6.933 7.310
angles (deg): 59.26 98.19 89.68
Fractional positions:
La  0.832  0.377  0.851
La  0.025  0.777  0.880
La  0.075  0.359  0.428
La  0.546  0.399  0.306
La  0.294  0.901  0.330
La  0.490  0.922  0.855
Bi  0.801  0.869  0.341
Bi  0.337  0.418  0.839
N  0.346  0.120  0.505
N  0.272  0.651  0.192

Entry 17:
DFT (PBE) results for crystalline NiPb2 at its relaxed geometry.

Properties
- Formation enthalpy at 0 K: 0.148 eV per atom

a b c (Å): 3.689 3.689 6.190
angles (deg): 90.00 90.00 120.00
Fractional positions:
Pb  0.333  0.667  0.732
Pb  0.667  0.333  0.268
Ni  0.000  0.000  0.000

Entry 18:
DFT (PBE) results for crystalline Y3Si2Au4 at its relaxed geometry.

Properties
- Energy relative to the elements, uncorrected: -0.8063 eV per atom

a b c (Å): 4.404 5.814 8.658
angles (deg): 110.02 90.00 112.26
Fractional positions:
Y  0.335  0.670  0.336
Y  0.000  0.000  0.000
Y  0.665  0.330  0.664
Au  0.712  0.424  0.068
Au  0.941  0.882  0.619
Au  0.059  0.118  0.381
Au  0.288  0.576  0.932
Si  0.393  0.785  0.720
Si  0.607  0.215  0.280

Entry 19:
DFT (PBE) results for crystalline Pm3HfS6 at its relaxed geometry.

Properties
- Energy relative to the elements, uncorrected: -1.8600 eV per atom

a b c (Å): 6.610 7.353 9.780
angles (deg): 90.00 92.22 90.00
Fractional positions:
Pm  0.454  0.101  0.257
Pm  0.546  0.899  0.743
Pm  0.500  0.500  0.000
Pm  0.046  0.601  0.243
Pm  0.954  0.399  0.757
Pm  0.000  0.000  0.500
S  0.154  0.056  0.766
S  0.654  0.444  0.266
S  0.663  0.196  0.572
S  0.687  0.178  0.926
S  0.313  0.822  0.074
S  0.163  0.304  0.072
S  0.813  0.678  0.574
S  0.337  0.804  0.428
S  0.846  0.944  0.234
S  0.346  0.556  0.734
S  0.187  0.322  0.426
S  0.837  0.696  0.928
Hf  0.000  0.000  0.000
Hf  0.500  0.500  0.500

Entry 20:
DFT (PBE) results for crystalline CaPdSe at its relaxed geometry.

Properties
- Energy relative to the elements, uncorrected: -1.1136 eV per atom
- E above lowest polymorph: 49 meV/atom

a b c (Å): 5.595 4.575 7.393
angles (deg): 51.75 75.33 65.85
Fractional positions:
Ca  0.106  0.516  0.232
Ca  0.697  0.722  0.732
Se  0.113  0.011  0.734
Se  0.691  0.221  0.234
Pd  0.279  0.335  0.828
Pd  0.525  0.711  0.328

For each record above, in turn, the calculated total magnetic moment values are 0.00, 7.28, 1.71, 0.00, 0.00, 0.00, 0.97, 0.00, 0.00, 0.36, 0.38, 0.00, 0.00, 0.00, 0.00, 0.00, 0.00, 0.00, 0.00, 0.00 μB per formula unit.